First-principles (PBE) data for a relaxed Pm5Bi2Se4 crystal, as listed in Alexandria.

Summary:
Density of states at the Fermi level   0.31 states/eV per atom
Space-group type   R-3m
ΔE_f (raw)   -1.39 eV per atom

a b c (Å): 4.6902 4.6902 19.8112
angles (deg): 83.20 83.20 60.00
Atoms (fractional coordinates):
Pm: 0.6341 0.6341 0.0978
Pm: 0.2285 0.2285 0.3145
Pm: 0.5000 0.5000 0.5000
Pm: 0.3659 0.3659 0.9022
Pm: 0.7715 0.7715 0.6855
Se: 0.5860 0.5860 0.2419
Se: 0.6881 0.6881 0.9356
Se: 0.3119 0.3119 0.0644
Se: 0.4140 0.4140 0.7581
Bi: 0.1356 0.1356 0.5933
Bi: 0.8644 0.8644 0.4067